Version w
## La2TmTi (PBE-GGA)

Data for an optimized crystal structure of La2TmTi.

a b c (Å): 3.3674 3.3674 12.0197
angles (deg): 81.95 81.95 60.00
Positions (direct):
1 Ti 0.0000 0.0000 0.0000
2 Tm 0.5000 0.5000 0.5000
3 La 0.9198 0.9198 0.2406
4 La 0.0802 0.0802 0.7594

The calculation puts the density of states at the Fermi level at 7.38 states/eV per cell. The density is 7051 kg/m3. As for the space group: No. 166. The value obtained for the volume is 116.48 Å³/cell.

***

Version x
## La2TmTi (PBE-GGA)

Data for an optimized crystal structure of La2TmTi.

a b c (Å): 3.5566 3.5566 9.2741
angles (deg): 90.00 90.00 90.00
Positions (direct):
1 La 0.0000 0.0000 0.2269
2 Tm 0.5000 0.5000 0.5000
3 Ti 0.5000 0.5000 0.0000
4 La 0.0000 0.0000 0.7731

The calculation puts the density of states at the Fermi level at 4.70 states/eV per cell. The density is 7001 kg/m3. As for the space group: No. 123. The value obtained for the volume is 117.31 Å³/cell.

***

Verdict on stability: version x comes out on top.

***

Version w
## LaTi3V (PBE-GGA)

Data for an optimized crystal structure of LaTi3V.

a b c (Å): 4.7652 4.7652 4.7652
angles (deg): 90.00 90.00 90.00
Positions (direct):
1 V 0.0000 0.0000 0.0000
2 La 0.5000 0.5000 0.5000
3 Ti 0.5000 0.0000 0.0000
4 Ti 0.0000 0.0000 0.5000
5 Ti 0.0000 0.5000 0.0000

The calculation puts the density of states at the Fermi level at 9.64 states/eV per cell. The density is 5117 kg/m3. As for the space group: No. 221. The value obtained for the volume is 108.21 Å³/cell.

***

Version x
## LaTi3V (PBE-GGA)

Data for an optimized crystal structure of LaTi3V.

a b c (Å): 4.7751 4.7751 4.7751
angles (deg): 90.00 90.00 90.00
Positions (direct):
1 Ti 0.0000 0.0000 0.5000
2 Ti 0.5000 0.0000 0.0000
3 Ti 0.0000 0.5000 0.0000
4 La 0.0000 0.0000 0.0000
5 V 0.5000 0.5000 0.5000

The calculation puts the density of states at the Fermi level at 6.97 states/eV per cell. The density is 5085 kg/m3. As for the space group: No. 221. The value obtained for the volume is 108.88 Å³/cell.

***

Verdict on stability: version w comes out on top.

***

Version w
## LaTiV (PBE-GGA)

Data for an optimized crystal structure of LaTiV.

a b c (Å): 4.2314 5.4389 6.1281
angles (deg): 83.77 78.84 80.96
Positions (direct):
1 La 0.3031 0.7652 0.6020
2 Ti 0.8089 0.3873 0.8722
3 V 0.7211 0.8805 0.0176
4 Ti 0.1911 0.6127 0.1278
5 La 0.6969 0.2348 0.3980
6 V 0.2789 0.1195 0.9824

The calculation puts the density of states at the Fermi level at 7.60 states/eV per cell. The density is 5796 kg/m3. As for the space group: No. 2. The value obtained for the volume is 136.21 Å³/cell.

***

Version x
## LaTiV (PBE-GGA)

Data for an optimized crystal structure of LaTiV.

a b c (Å): 3.1762 3.1762 12.6708
angles (deg): 90.00 90.00 90.00
Positions (direct):
1 V 0.0000 0.5000 0.9486
2 La 0.5000 0.0000 0.3745
3 Ti 0.5000 0.0000 0.8278
4 Ti 0.0000 0.5000 0.1722
5 La 0.0000 0.5000 0.6255
6 V 0.5000 0.0000 0.0514

The calculation puts the density of states at the Fermi level at 8.68 states/eV per cell. The density is 6176 kg/m3. As for the space group: No. 129. The value obtained for the volume is 127.82 Å³/cell.

***

Verdict on stability: version x comes out on top.

***

Version w
## LaTiV (PBE-GGA)

Data for an optimized crystal structure of LaTiV.

a b c (Å): 3.4622 20.3313 3.7799
angles (deg): 90.00 90.00 90.00
Positions (direct):
1 V 0.0000 0.5397 0.2500
2 La 0.0000 0.3124 0.7500
3 V 0.5000 0.9603 0.7500
4 La 0.5000 0.1876 0.2500
5 Ti 0.0000 0.9298 0.2500
6 La 0.0000 0.6876 0.2500
7 Ti 0.5000 0.5702 0.7500
8 V 0.5000 0.0397 0.2500
9 Ti 0.0000 0.0702 0.7500
10 V 0.0000 0.4603 0.7500
11 Ti 0.5000 0.4298 0.2500
12 La 0.5000 0.8124 0.7500

The calculation puts the density of states at the Fermi level at 14.01 states/eV per cell. The density is 5934 kg/m3. As for the space group: No. 63. The value obtained for the volume is 266.07 Å³/cell.

***

Version x
## LaTiV (PBE-GGA)

Data for an optimized crystal structure of LaTiV.

a b c (Å): 8.4215 4.6827 7.6093
angles (deg): 90.00 107.75 90.00
Positions (direct):
1 Ti 0.0457 0.0000 0.8441
2 Ti 0.0457 0.5000 0.3441
3 La 0.6494 0.0000 0.7254
4 Ti 0.9543 0.5000 0.6559
5 Ti 0.9543 0.0000 0.1559
6 La 0.6494 0.5000 0.2254
7 La 0.3506 0.0000 0.2746
8 V 0.1335 0.0000 0.5354
9 V 0.8665 0.0000 0.4646
10 V 0.1335 0.5000 0.0354
11 La 0.3506 0.5000 0.7746
12 V 0.8665 0.5000 0.9646

The calculation puts the density of states at the Fermi level at 20.44 states/eV per cell. The density is 5525 kg/m3. As for the space group: No. 12. The value obtained for the volume is 285.79 Å³/cell.

***

Verdict on stability: version w comes out on top.

***

Version w
## LaTi2V (PBE-GGA)

Data for an optimized crystal structure of LaTi2V.

a b c (Å): 6.8430 6.8430 6.8525
angles (deg): 60.05 60.05 90.00
Positions (direct):
1 Ti 0.3750 0.6250 0.2500
2 V 0.2500 0.7500 0.5000
3 Ti 0.8750 0.6250 0.7500
4 La 0.7500 0.2500 0.5000
5 V 0.5000 0.5000 0.0000
6 Ti 0.3750 0.6250 0.7500
7 La 0.0000 0.0000 0.0000
8 Ti 0.3750 0.1250 0.2500

The calculation puts the density of states at the Fermi level at 13.09 states/eV per cell. The density is 4174 kg/m3. As for the space group: No. 141. The value obtained for the volume is 227.21 Å³/cell.

***

Version x
## LaTi2V (PBE-GGA)

Data for an optimized crystal structure of LaTi2V.

a b c (Å): 4.7600 4.7600 4.7600
angles (deg): 60.00 60.00 60.00
Positions (direct):
1 Ti 0.2500 0.2500 0.2500
2 Ti 0.7500 0.7500 0.7500
3 La 0.5000 0.5000 0.5000
4 V 0.0000 0.0000 0.0000

The calculation puts the density of states at the Fermi level at 8.06 states/eV per cell. The density is 6218 kg/m3. As for the space group: No. 225. The value obtained for the volume is 76.26 Å³/cell.

***

Verdict on stability: version x comes out on top.

***

Version w
## LaTi3W (PBE-GGA)

Data for an optimized crystal structure of LaTi3W.

a b c (Å): 4.6900 4.6900 4.6900
angles (deg): 90.00 90.00 90.00
Positions (direct):
1 W 0.5000 0.5000 0.5000
2 Ti 0.0000 0.5000 0.0000
3 La 0.0000 0.0000 0.0000
4 Ti 0.5000 0.0000 0.0000
5 Ti 0.0000 0.0000 0.5000

The calculation puts the density of states at the Fermi level at 7.07 states/eV per cell. The density is 7507 kg/m3. As for the space group: No. 221. The value obtained for the volume is 103.16 Å³/cell.

***

Version x
## LaTi3W (PBE-GGA)

Data for an optimized crystal structure of LaTi3W.

a b c (Å): 4.9028 4.9028 4.9028
angles (deg): 90.00 90.00 90.00
Positions (direct):
1 W 0.0000 0.0000 0.0000
2 Ti 0.0000 0.0000 0.5000
3 Ti 0.0000 0.5000 0.0000
4 La 0.5000 0.5000 0.5000
5 Ti 0.5000 0.0000 0.0000

The calculation puts the density of states at the Fermi level at 7.90 states/eV per cell. The density is 6571 kg/m3. As for the space group: No. 221. The value obtained for the volume is 117.85 Å³/cell.

***

Verdict on stability: version x comes out on top.

***

Version w
## LaTiZn3 (PBE-GGA)

Data for an optimized crystal structure of LaTiZn3.

a b c (Å): 4.9215 4.9215 4.9215
angles (deg): 90.00 90.00 90.00
Positions (direct):
1 Zn 0.0000 0.0000 0.5000
2 Ti 0.0000 0.0000 0.0000
3 La 0.5000 0.5000 0.5000
4 Zn 0.5000 0.0000 0.0000
5 Zn 0.0000 0.5000 0.0000

The calculation puts the density of states at the Fermi level at 6.20 states/eV per cell. The density is 5335 kg/m3. As for the space group: No. 221. The value obtained for the volume is 119.21 Å³/cell.

***

Version x
## LaTiZn3 (PBE-GGA)

Data for an optimized crystal structure of LaTiZn3.

a b c (Å): 5.4517 5.4517 5.4517
angles (deg): 90.00 90.00 90.00
Positions (direct):
1 Zn 0.5000 0.0000 0.0000
2 Zn 0.0000 0.5000 0.0000
3 Ti 0.5000 0.5000 0.5000
4 La 0.0000 0.0000 0.0000
5 Zn 0.0000 0.0000 0.5000

The calculation puts the density of states at the Fermi level at 6.77 states/eV per cell. The density is 3925 kg/m3. As for the space group: No. 221. The value obtained for the volume is 162.03 Å³/cell.

***

Verdict on stability: version w comes out on top.

***

Version w
## LaZr2Ti (PBE-GGA)

Data for an optimized crystal structure of LaZr2Ti.

a b c (Å): 4.3752 4.3752 10.9335
angles (deg): 78.46 78.46 90.00
Positions (direct):
1 Zr 0.8750 0.8635 0.7500
2 Zr 0.1365 0.6250 0.2500
3 La 0.0000 0.0000 0.0000
4 Ti 0.2500 0.7500 0.5000
5 Zr 0.6135 0.1250 0.2500
6 Zr 0.3750 0.3865 0.7500
7 La 0.7500 0.2500 0.5000
8 Ti 0.5000 0.5000 0.0000

The calculation puts the density of states at the Fermi level at 10.17 states/eV per cell. The density is 6108 kg/m3. As for the space group: No. 122. The value obtained for the volume is 200.74 Å³/cell.

***

Version x
## LaZr2Ti (PBE-GGA)

Data for an optimized crystal structure of LaZr2Ti.

a b c (Å): 5.1315 5.1315 5.1315
angles (deg): 60.00 60.00 60.00
Positions (direct):
1 La 0.5000 0.5000 0.5000
2 Ti 0.0000 0.0000 0.0000
3 Zr 0.7500 0.7500 0.7500
4 Zr 0.2500 0.2500 0.2500

The calculation puts the density of states at the Fermi level at 8.20 states/eV per cell. The density is 6417 kg/m3. As for the space group: No. 225. The value obtained for the volume is 95.55 Å³/cell.

***

Version y
## LaZr2Ti (PBE-GGA)

Data for an optimized crystal structure of LaZr2Ti.

a b c (Å): 3.1638 3.1638 11.2651
angles (deg): 81.93 81.93 60.00
Positions (direct):
1 Zr 0.9045 0.9045 0.2866
2 La 0.0000 0.0000 0.0000
3 Ti 0.5000 0.5000 0.5000
4 Zr 0.0955 0.0955 0.7134

The calculation puts the density of states at the Fermi level at 5.13 states/eV per cell. The density is 6362 kg/m3. As for the space group: No. 166. The value obtained for the volume is 96.36 Å³/cell.

***

Version z
## LaZr2Ti (PBE-GGA)

Data for an optimized crystal structure of LaZr2Ti.

a b c (Å): 3.6239 3.6239 7.5023
angles (deg): 90.00 90.00 90.00
Positions (direct):
1 Ti 0.5000 0.5000 0.0000
2 Zr 0.0000 0.0000 0.1972
3 Zr 0.0000 0.0000 0.8028
4 La 0.5000 0.5000 0.5000

The calculation puts the density of states at the Fermi level at 6.28 states/eV per cell. The density is 6223 kg/m3. As for the space group: No. 123. The value obtained for the volume is 98.52 Å³/cell.

***

Verdict on stability: version z comes out on top.